## i
Below is crystalline SmYHoEr at its relaxed geometry, with properties calculated at the PBE-GGA level.

Cell lengths 5.036, 5.036, 6.154 Å; angles 114.14, 114.15, 90.00 degrees
Sites, in units of the cell vectors:
Sm 0.120 0.120 0.239
Y 0.370 0.870 0.740
Ho 0.870 0.370 0.739
Er 0.620 0.620 0.240

Summary:
DOS(E_F)	5.887	states/eV/cell
density	7.45	g/cm3



## ii
Below is crystalline SmYHoEr at its relaxed geometry, with properties calculated at the PBE-GGA level.

Cell lengths 5.678, 5.678, 5.678 Å; angles 60.00, 60.00, 60.00 degrees
Sites, in units of the cell vectors:
Y 0.750 0.750 0.750
Ho 0.500 0.500 0.500
Sm 0.250 0.250 0.250
Er 0.000 0.000 0.000

Summary:
DOS(E_F)	9.106	states/eV/cell
density	7.33	g/cm3



Which of them is most stable? Easy: i.



## i
Below is crystalline SmHoErZn at its relaxed geometry, with properties calculated at the PBE-GGA level.

Cell lengths 5.340, 5.340, 5.340 Å; angles 60.00, 60.00, 60.00 degrees
Sites, in units of the cell vectors:
Zn 0.750 0.750 0.750
Ho 0.000 0.000 0.000
Sm 0.500 0.500 0.500
Er 0.250 0.250 0.250

Summary:
DOS(E_F)	4.809	states/eV/cell
density	8.45	g/cm3



## ii
Below is crystalline SmHoErZn at its relaxed geometry, with properties calculated at the PBE-GGA level.

Cell lengths 3.558, 3.558, 8.653 Å; angles 90.00, 90.00, 90.00 degrees
Sites, in units of the cell vectors:
Sm 0.000 0.000 0.072
Ho 0.500 0.500 0.775
Er 0.500 0.500 0.368
Zn 0.000 0.000 0.570

Summary:
DOS(E_F)	4.558	states/eV/cell
density	8.30	g/cm3



Which of them is most stable? Easy: ii.



## i
Below is crystalline SrHoEr at its relaxed geometry, with properties calculated at the PBE-GGA level.

Cell lengths 3.691, 3.691, 9.195 Å; angles 90.00, 90.00, 120.00 degrees
Sites, in units of the cell vectors:
Sr 0.000 0.000 0.001
Ho 0.333 0.667 0.645
Er 0.667 0.333 0.354

Summary:
DOS(E_F)	5.273	states/eV/cell
density	6.43	g/cm3



## ii
Below is crystalline SrHoEr at its relaxed geometry, with properties calculated at the PBE-GGA level.

Cell lengths 3.705, 3.705, 8.400 Å; angles 102.74, 102.74, 90.00 degrees
Sites, in units of the cell vectors:
Sr 0.000 0.000 0.000
Ho 0.319 0.319 0.638
Er 0.681 0.681 0.362

Summary:
DOS(E_F)	4.854	states/eV/cell
density	6.36	g/cm3



Which of them is most stable? Easy: ii.



## i
Below is crystalline SrHo2Er at its relaxed geometry, with properties calculated at the PBE-GGA level.

Cell lengths 3.579, 3.579, 12.862 Å; angles 82.00, 82.00, 60.00 degrees
Sites, in units of the cell vectors:
Sr 0.000 0.000 0.000
Ho 0.093 0.093 0.720
Ho 0.907 0.907 0.280
Er 0.500 0.500 0.500

Summary:
DOS(E_F)	5.440	states/eV/cell
density	6.89	g/cm3



## ii
Below is crystalline SrHo2Er at its relaxed geometry, with properties calculated at the PBE-GGA level.

Cell lengths 3.651, 3.651, 10.516 Å; angles 90.00, 90.00, 90.00 degrees
Sites, in units of the cell vectors:
Sr 0.500 0.500 0.500
Ho 0.000 0.000 0.781
Ho 0.000 0.000 0.219
Er 0.500 0.500 0.000

Summary:
DOS(E_F)	5.435	states/eV/cell
density	6.93	g/cm3



Which of them is most stable? Easy: ii.



## i
Below is crystalline Tb2HoEr7 at its relaxed geometry, with properties calculated at the PBE-GGA level.

Cell lengths 5.052, 9.634, 9.634 Å; angles 127.10, 90.00, 90.00 degrees
Sites, in units of the cell vectors:
Tb 0.500 0.701 0.299
Tb 0.500 0.299 0.701
Ho 0.000 0.000 0.000
Er 0.000 0.806 0.194
Er 0.000 0.194 0.806
Er 0.500 0.073 0.286
Er 0.500 0.927 0.714
Er 0.500 0.286 0.073
Er 0.500 0.714 0.927
Er 0.500 0.500 0.500

Summary:
DOS(E_F)	11.592	states/eV/cell
density	7.34	g/cm3



## ii
Below is crystalline Tb2HoEr7 at its relaxed geometry, with properties calculated at the PBE-GGA level.

Cell lengths 6.078, 7.843, 7.853 Å; angles 90.01, 75.00, 58.88 degrees
Sites, in units of the cell vectors:
Tb 0.500 0.700 0.600
Tb 0.500 0.300 0.400
Ho 0.000 0.000 0.000
Er 0.000 0.800 0.400
Er 0.000 0.200 0.600
Er 0.000 0.600 0.800
Er 0.000 0.400 0.200
Er 0.500 0.900 0.199
Er 0.500 0.100 0.801
Er 0.500 0.500 0.000

Summary:
DOS(E_F)	12.665	states/eV/cell
density	8.99	g/cm3



Which of them is most stable? Easy: ii.



## i
Below is crystalline Tb2Ho3Er7 at its relaxed geometry, with properties calculated at the PBE-GGA level.

Cell lengths 3.558, 5.616, 18.832 Å; angles 98.58, 90.00, 90.00 degrees
Sites, in units of the cell vectors:
Tb 0.000 0.853 0.706
Tb 0.000 0.147 0.294
Ho 0.500 0.500 0.000
Ho 0.500 0.685 0.370
Ho 0.500 0.315 0.630
Er 0.000 0.409 0.818
Er 0.000 0.769 0.539
Er 0.000 0.000 0.000
Er 0.000 0.591 0.182
Er 0.500 0.071 0.143
Er 0.500 0.929 0.857
Er 0.000 0.231 0.461

Summary:
DOS(E_F)	17.986	states/eV/cell
density	8.85	g/cm3



## ii
Below is crystalline Tb2Ho3Er7 at its relaxed geometry, with properties calculated at the PBE-GGA level.

Cell lengths 5.458, 6.104, 11.911 Å; angles 92.37, 90.00, 90.00 degrees
Sites, in units of the cell vectors:
Tb 0.500 0.608 0.281
Tb 0.500 0.392 0.719
Ho 0.500 0.500 0.000
Ho 0.000 0.952 0.336
Ho 0.000 0.048 0.664
Er 0.500 0.233 0.452
Er 0.500 0.767 0.548
Er 0.000 0.439 0.177
Er 0.000 0.000 0.000
Er 0.000 0.561 0.823
Er 0.500 0.914 0.835
Er 0.500 0.086 0.165

Summary:
DOS(E_F)	18.842	states/eV/cell
density	8.31	g/cm3



Which of them is most stable? Easy: i.



## i
Below is crystalline TbHo3Er7 at its relaxed geometry, with properties calculated at the PBE-GGA level.

Cell lengths 5.457, 9.807, 8.774 Å; angles 105.55, 128.47, 89.98 degrees
Sites, in units of the cell vectors:
Tb 0.500 0.500 0.500
Ho 0.278 0.998 0.778
Ho 0.000 0.500 0.000
Ho 0.722 0.002 0.222
Er 0.920 0.831 0.920
Er 0.852 0.710 0.353
Er 0.679 0.359 0.179
Er 0.321 0.641 0.821
Er 0.500 0.000 0.500
Er 0.148 0.290 0.647
Er 0.080 0.169 0.080

Summary:
DOS(E_F)	18.332	states/eV/cell
density	8.77	g/cm3



## ii
Below is crystalline TbHo3Er7 at its relaxed geometry, with properties calculated at the PBE-GGA level.

Cell lengths 5.715, 8.319, 8.319 Å; angles 83.21, 110.14, 110.14 degrees
Last column: magnetic moment on the atom in μB.
Sites, in units of the cell vectors:
Tb 0.500 0.500 0.500  0.13
Ho 0.000 0.792 0.208  0.01
Ho 0.500 0.000 0.000  0.00
Ho 0.000 0.208 0.792  0.01
Er 0.208 0.207 0.207  0.01
Er 0.296 0.994 0.599  0.01
Er 0.704 0.401 0.006  0.01
Er 0.296 0.599 0.994  0.01
Er 0.000 0.500 0.500  0.14
Er 0.704 0.006 0.401  0.01
Er 0.792 0.793 0.793  0.01

Summary:
DOS(E_F)	15.775	states/eV/cell
density	8.69	g/cm3



Which of them is most stable? Easy: i.



## i
Below is crystalline TbHo3Er2 at its relaxed geometry, with properties calculated at the PBE-GGA level.

Cell lengths 6.083, 7.031, 9.306 Å; angles 112.20, 89.96, 90.00 degrees
Sites, in units of the cell vectors:
Tb 0.750 0.125 0.000
Tb 0.250 0.875 0.000
Ho 0.250 0.375 0.000
Ho 0.750 0.625 0.000
Ho 0.084 0.292 0.334
Ho 0.416 0.958 0.666
Ho 0.584 0.042 0.334
Ho 0.916 0.708 0.666
Er 0.583 0.542 0.334
Er 0.083 0.792 0.334
Er 0.917 0.208 0.666
Er 0.417 0.458 0.666

Summary:
DOS(E_F)	16.490	states/eV/cell
density	8.91	g/cm3



## ii
Below is crystalline TbHo3Er2 at its relaxed geometry, with properties calculated at the PBE-GGA level.

Cell lengths 5.574, 8.849, 9.601 Å; angles 122.85, 90.00, 108.36 degrees
Sites, in units of the cell vectors:
Tb 0.875 0.751 0.876
Tb 0.125 0.249 0.124
Ho 0.249 0.499 0.582
Ho 0.000 0.000 0.666
Ho 0.625 0.251 0.626
Ho 0.375 0.749 0.374
Ho 0.000 0.000 0.334
Ho 0.751 0.501 0.418
Er 0.500 0.000 0.832
Er 0.500 0.000 0.168
Er 0.751 0.501 0.084
Er 0.249 0.499 0.916

Summary:
DOS(E_F)	21.169	states/eV/cell
density	8.90	g/cm3



Which of them is most stable? Easy: i.